VASP calculation (GGA-PBE) on crystalline Li4Sn2Pb at its relaxed geometry.

Geometry as CIF:
```
data_Li4Sn2Pb
_chemical_formula_sum 'Li8 Sn4 Pb2'
_symmetry_space_group_name_H-M 'C 1 2/m 1'
_symmetry_Int_Tables_number 12
_cell_length_a 7.8936
_cell_length_b 5.1790
_cell_length_c 8.3202
_cell_angle_alpha 90.00
_cell_angle_beta 117.05
_cell_angle_gamma 90.00
loop_
_symmetry_equiv_pos_as_xyz
'x,y,z'
'-x,-y,-z'
'-x,y,-z'
'x,-y,z'
'x+1/2,y+1/2,z'
'-x+1/2,-y+1/2,-z'
'-x+1/2,y+1/2,-z'
'x+1/2,-y+1/2,z'
loop_
_atom_site_label
_atom_site_fract_x
_atom_site_fract_y
_atom_site_fract_z
Li1 0.0806 0.0000 0.3597
Li2 0.1599 0.5000 0.2298
Sn1 0.2210 0.0000 0.0773
Pb1 0.0000 0.5000 0.5000
```

Calculated values
**Magnetic moment**: 0.00 μB per formula unit
**Energy relative to the elements**: -0.2525 eV per atom
**N(E_F)**: 0.2923 states/eV/atom